An optimized crystal structure of ZnCrCd. Source: Alexandria, functional GGA-PBE.

## Properties
Excess energy over the best structure of this formula in the dataset (eV/atom): 0.0275
Energy relative to the elements (eV/atom): 0.32
D(E_F) (states/eV per cell): 1.43

a b c (Å): 4.528 4.528 2.942
angles (deg): 90.00 90.00 120.00
Each line ends with the local moment (μB).
Atoms (fractional coordinates):
1 Cd 0.000 0.000 0.833  -0.04
2 Cr 0.667 0.333 0.333  3.51
3 Zn 0.333 0.667 0.833  -0.06

An optimized crystal structure of Sm4HoS4. Source: Alexandria, functional GGA-PBE.

## Properties
Uncorrected formation energy (eV per atom): -1.770
D(E_F) (states/eV per cell): 5.74

a b c (Å): 5.649 6.847 6.848
angles (deg): 80.14 65.58 65.52
Atoms (fractional coordinates):
1 Sm 0.601 0.598 0.201
2 Sm 0.399 0.402 0.799
3 Sm 0.199 0.201 0.402
4 Sm 0.801 0.799 0.598
5 Ho 0.000 0.000 0.000
6 S 0.902 0.393 0.802
7 S 0.098 0.607 0.198
8 S 0.296 0.801 0.607
9 S 0.704 0.199 0.393

An optimized crystal structure of FeCu2W. Source: Alexandria, functional GGA-PBE.

## Properties
Excess energy over the best structure of this formula in the dataset (eV/atom): 0.6178
Energy relative to the elements (eV/atom): 0.82
D(E_F) (states/eV per cell): 6.58

a b c (Å): 6.749 6.749 5.357
angles (deg): 50.96 50.96 90.00
Each line ends with the local moment (μB).
Atoms (fractional coordinates):
1 Cu 0.607 0.125 0.250  0.06
2 Cu 0.143 0.625 0.250  0.05
3 Cu 0.375 0.393 0.750  0.05
4 Cu 0.875 0.857 0.750  0.05
5 W 0.000 0.000 0.000  -0.13
6 W 0.750 0.250 0.500  -0.13
7 Fe 0.500 0.500 0.000  2.14
8 Fe 0.250 0.750 0.500  2.13